# Mg4Zn2Pb | Alexandria | PBE-GGA | relaxed
data_Mg4Zn2Pb
_cell_length_a 4.830
_cell_length_b 4.830
_cell_length_c 14.583
_cell_angle_alpha 90.00
_cell_angle_beta 90.00
_cell_angle_gamma 118.06
_space_group_name_H-M_alt 'P 1'
_space_group_IT_number 1
_space_group_name_Hall 'P 1'
loop_
_atom_site_label
_atom_site_fract_x
_atom_site_fract_y
_atom_site_fract_z
Mg1 0.000 0.000 0.000
Mg2 0.000 0.000 0.500
Mg3 0.323 0.677 0.633
Mg4 0.323 0.677 0.867
Mg5 0.344 0.656 0.250
Mg6 0.656 0.344 0.750
Mg7 0.677 0.323 0.133
Mg8 0.677 0.323 0.367
Zn1 0.343 0.657 0.056
Zn2 0.343 0.657 0.444
Zn3 0.657 0.343 0.556
Zn4 0.657 0.343 0.944
Pb1 0.006 0.994 0.250
Pb2 0.994 0.006 0.750
# calculated volume: 150 Å³/f.u.
# crystal system: orthorhombic
# ΔE_f: -3 meV/atom
# space-group type: Cmcm (63)